1.
Computed, not measured: a geometry-optimized Ti2Ni4S5 structure at the PBE level of DFT.

## Properties
Space-group type: R-3m, No. 166
Mass density: 5.01 g cm⁻³
Energy relative to the elements, uncorrected: -68.1 kJ/mol of atoms

Lattice parameters (Å, degrees): 3.578 3.578 14.814 83.06 83.06 60.00
Positions (direct):
S 0.233 0.233 0.302
S 0.767 0.767 0.698
S 0.500 0.500 0.500
S 0.369 0.369 0.893
S 0.631 0.631 0.107
Ti 0.133 0.133 0.602
Ti 0.867 0.867 0.398
Ni 0.316 0.316 0.051
Ni 0.579 0.579 0.262
Ni 0.421 0.421 0.738
Ni 0.684 0.684 0.949

2.
Computed, not measured: a geometry-optimized CaNdMg structure at the PBE level of DFT.

## Properties
Energy of formation: 0.05 eV/atom
Space-group type: P3m1, No. 156
Mass density: 3.55 g cm⁻³
Offset from the most stable computed form: 107 meV per atom

Lattice parameters (Å, degrees): 3.472 5.697 5.697 120.00 90.00 90.00
Positions (direct):
Mg 0.731 0.667 0.333
Ca 0.925 0.000 0.000
Nd 0.344 0.333 0.667

3.
Computed, not measured: a geometry-optimized Sc3FePb structure at the PBE level of DFT.

## Properties
Energy of formation: -0.11 eV/atom
Space-group type: Pm-3m, No. 221
Mass density: 5.87 g cm⁻³
Offset from the most stable computed form: 0 meV per atom

Lattice parameters (Å, degrees): 4.830 4.830 4.830 90.00 90.00 90.00
Positions (direct):
Sc 0.000 0.500 0.000
Sc 0.000 0.000 0.500
Sc 0.500 0.000 0.000
Fe 0.000 0.000 0.000
Pb 0.500 0.500 0.500

4.
Computed, not measured: a geometry-optimized PtC2 structure at the PBE level of DFT.

## Properties
Energy of formation: 1.23 eV/atom
Space-group type: Fmmm, No. 69
Mass density: 7.20 g cm⁻³
Offset from the most stable computed form: 910 meV per atom

Lattice parameters (Å, degrees): 5.036 4.825 3.461 72.76 66.22 41.03
Positions (direct):
C 0.121 0.879 0.121
C 0.879 0.121 0.879
Pt 0.500 0.500 0.500

5.
Computed, not measured: a geometry-optimized Al2HgP structure at the PBE level of DFT.

## Properties
Energy of formation: 0.40 eV/atom
Space-group type: F-43m, No. 216
Mass density: 6.21 g cm⁻³
Offset from the most stable computed form: 513 meV per atom

Lattice parameters (Å, degrees): 4.762 4.762 4.762 60.00 60.00 60.00
Positions (direct):
Al 0.000 0.000 0.000
Al 0.750 0.750 0.750
Hg 0.500 0.500 0.500
P 0.250 0.250 0.250

6.
Computed, not measured: a geometry-optimized ErPaAlGa structure at the PBE level of DFT.

## Properties
Energy of formation: -0.21 eV/atom
Space-group type: F-43m, No. 216
Mass density: 9.04 g cm⁻³

Lattice parameters (Å, degrees): 5.047 5.047 5.047 60.00 60.00 60.00
Positions (direct):
Al 0.500 0.500 0.500
Pa 0.750 0.750 0.750
Er 0.250 0.250 0.250
Ga 0.000 0.000 0.000

7.
Computed, not measured: a geometry-optimized Sr3LiRh3 structure at the PBE level of DFT.

## Properties
Energy of formation: -0.24 eV/atom
Space-group type: Cmcm, No. 63
Mass density: 5.60 g cm⁻³

Lattice parameters (Å, degrees): 4.603 5.937 13.619 90.00 90.00 112.81
Positions (direct):
Sr 0.770 0.539 0.106
Sr 0.483 0.966 0.250
Sr 0.230 0.461 0.606
Sr 0.770 0.539 0.394
Sr 0.230 0.461 0.894
Sr 0.517 0.034 0.750
Rh 0.175 0.350 0.250
Rh 0.944 0.889 0.914
Rh 0.825 0.650 0.750
Rh 0.056 0.111 0.086
Rh 0.056 0.111 0.414
Rh 0.944 0.889 0.586
Li 0.500 0.000 0.500
Li 0.500 0.000 0.000

8.
Computed, not measured: a geometry-optimized Y2H2Os structure at the PBE level of DFT.

## Properties
Space-group type: I4/mmm, No. 139
Total energy: -32.97 eV per formula unit
Mass density: 8.17 g cm⁻³

Lattice parameters (Å, degrees): 3.449 3.449 6.775 75.26 75.26 90.00
Positions (direct):
H 0.750 0.250 0.500
H 0.250 0.750 0.500
Y 0.635 0.635 0.731
Y 0.365 0.365 0.269
Os 0.000 0.000 0.000

9.
Computed, not measured: a geometry-optimized SrGdRu structure at the PBE level of DFT.

## Properties
Energy of formation: 0.00 eV/atom
Space-group type: I4mm, No. 107
Mass density: 6.69 g cm⁻³

Lattice parameters (Å, degrees): 3.543 3.543 7.286 104.07 104.07 90.00
Positions (direct):
Gd 0.284 0.284 0.569
Sr 0.034 0.034 0.068
Ru 0.682 0.682 0.364

10.
Computed, not measured: a geometry-optimized DyThCS structure at the PBE level of DFT.

## Properties
Space-group type: R3m, No. 160
Mass density: 8.97 g cm⁻³
Energy relative to the elements, uncorrected: -119.4 kJ/mol of atoms

Lattice parameters (Å, degrees): 3.796 3.796 6.863 73.94 73.94 60.00
Positions (direct):
S 0.191 0.191 0.428
Dy 0.434 0.434 0.699
Th 0.958 0.958 0.126
C 0.694 0.694 0.917

11.
Computed, not measured: a geometry-optimized Pr3RuO6 structure at the PBE level of DFT.

## Properties
Space-group type: R-3, No. 148
Mass density: 6.83 g cm⁻³
Energy relative to the elements, uncorrected: -256.4 kJ/mol of atoms

Lattice parameters (Å, degrees): 6.772 6.772 6.772 97.66 97.66 97.66
Positions (direct):
O 0.798 0.419 0.559
O 0.559 0.798 0.419
O 0.951 0.061 0.297
O 0.581 0.441 0.202
O 0.202 0.581 0.441
O 0.419 0.559 0.798
O 0.939 0.703 0.049
O 0.061 0.297 0.951
O 0.441 0.202 0.581
O 0.703 0.049 0.939
O 0.297 0.951 0.061
O 0.049 0.939 0.703
Pr 0.599 0.113 0.284
Pr 0.284 0.599 0.113
Pr 0.887 0.716 0.401
Pr 0.113 0.284 0.599
Pr 0.401 0.887 0.716
Pr 0.716 0.401 0.887
Ru 0.000 0.000 0.000
Ru 0.500 0.500 0.500

12.
Computed, not measured: a geometry-optimized Sr3CdCo structure at the PBE level of DFT.

## Properties
Energy of formation: 0.16 eV/atom
Space-group type: Pm-3m, No. 221
Mass density: 3.93 g cm⁻³

Lattice parameters (Å, degrees): 5.684 5.684 5.684 90.00 90.00 90.00
Positions (direct):
Co 0.000 0.000 0.000
Sr 0.000 0.000 0.500
Sr 0.000 0.500 0.000
Sr 0.500 0.000 0.000
Cd 0.500 0.500 0.500

13.
Computed, not measured: a geometry-optimized Na2Cd3Ag4 structure at the PBE level of DFT.

## Properties
Energy of formation: -0.04 eV/atom
Space-group type: P-1, No. 2
Mass density: 7.38 g cm⁻³

Lattice parameters (Å, degrees): 4.443 5.173 9.147 75.81 88.91 64.66
Positions (direct):
Na 0.673 0.655 0.219
Na 0.327 0.345 0.781
Ag 0.010 0.981 0.339
Ag 0.660 0.678 0.888
Ag 0.340 0.322 0.112
Ag 0.990 0.019 0.661
Cd 0.000 0.000 0.000
Cd 0.336 0.325 0.436
Cd 0.664 0.675 0.564

Total magnetization (computed, μB per cell): 0.0, 0.0, 0.0, 0.0, 0.0, 0.6, 0.0, 0.0, 7.3, 0.0, 2.0, 0.0, 0.0